Entry 1:
DFT (PBE) results for crystalline Li3Tl2PdO6 at its relaxed geometry.

V: 11.855 A^3/atom
total DFT energy (no corrections): -4.829 eV/atom
formation energy without anion corrections: -1.04 eV/atom
crystal system: monoclinic
symmetry: No. 12

```
data_Li3Tl2PdO6
_chemical_formula_sum 'Li3 Tl2 Pd1 O6'
_cell_length_a 5.794
_cell_length_b 5.794
_cell_length_c 5.244
_cell_angle_alpha 98.26
_cell_angle_beta 98.26
_cell_angle_gamma 122.20
_space_group_name_H-M_alt 'P 1'
_space_group_IT_number 1
loop_
_space_group_symop_operation_xyz
'x,y,z'
loop_
_atom_site_label
_atom_site_fract_x
_atom_site_fract_y
_atom_site_fract_z
Li1 0.134 0.866 0.500
Li2 0.866 0.134 0.500
Li3 0.500 0.500 0.500
Tl1 0.329 0.671 0.000
Tl2 0.671 0.329 0.000
Pd1 0.000 0.000 0.000
O1 0.921 0.614 0.752
O2 0.770 0.770 0.238
O3 0.079 0.386 0.248
O4 0.614 0.921 0.752
O5 0.230 0.230 0.762
O6 0.386 0.079 0.248
```



Entry 2:
DFT (PBE) results for crystalline RbPtCl at its relaxed geometry.

V: 33.270 A^3/atom
total DFT energy (no corrections): -3.426 eV/atom
energy above the lowest structure with this stoichiometry: 299.6 meV per atom
formation energy without anion corrections: -0.47 eV/atom
crystal system: orthorhombic
symmetry: No. 62

```
data_RbPtCl
_chemical_formula_sum 'Rb4 Pt4 Cl4'
_cell_length_a 9.460
_cell_length_b 4.429
_cell_length_c 9.528
_cell_angle_alpha 90.00
_cell_angle_beta 90.00
_cell_angle_gamma 90.00
_space_group_name_H-M_alt 'P 1'
_space_group_IT_number 1
loop_
_space_group_symop_operation_xyz
'x,y,z'
loop_
_atom_site_label
_atom_site_fract_x
_atom_site_fract_y
_atom_site_fract_z
Rb1 0.741 0.250 0.514
Rb2 0.759 0.750 0.014
Rb3 0.259 0.750 0.486
Rb4 0.241 0.250 0.986
Pt1 0.486 0.250 0.258
Pt2 0.014 0.750 0.758
Pt3 0.514 0.750 0.742
Pt4 0.986 0.250 0.242
Cl1 0.036 0.250 0.704
Cl2 0.464 0.750 0.204
Cl3 0.964 0.750 0.296
Cl4 0.536 0.250 0.796
```